Li3CuS2: optimized geometry, PBEsol.

Cell: 8.0689 8.0689 8.0689 Å, 122.36 122.36 85.97°
With the nearest neighbours (Å) after each atom.
Positions (direct):
1 Li 0.0000 0.0000 0.0000  6 S 2.65-2.72, 4 Li 2.67
2 Li 0.0000 0.0000 0.5000  6 S 2.65-2.72, 4 Li 2.67
3 Li 0.0000 0.5000 0.0000  6 S 2.65-2.72, 4 Li 2.67
4 Li 0.1595 0.4095 0.3189  4 S 2.43-2.57, 2 Li 2.67
5 Li 0.1595 0.8405 0.7500  4 S 2.43-2.57, 2 Li 2.67
6 Li 0.4095 0.1595 0.8189  4 S 2.43-2.57, 2 Li 2.67
7 Li 0.4095 0.5905 0.2500  4 S 2.43-2.57, 2 Li 2.67
8 Li 0.5000 0.0000 0.5000  6 S 2.65-2.72, 4 Li 2.67
9 Li 0.5905 0.4095 0.7500  4 S 2.43-2.57, 2 Li 2.67
10 Li 0.5905 0.8405 0.1811  4 S 2.43-2.57, 2 Li 2.67
11 Li 0.8405 0.1595 0.2500  4 S 2.43-2.57, 2 Li 2.67
12 Li 0.8405 0.5905 0.6811  4 S 2.43-2.57, 2 Li 2.67
13 Cu 0.2414 0.4914 0.7500  2 S 2.11
14 Cu 0.4914 0.2414 0.2500  2 S 2.11
15 Cu 0.5086 0.7586 0.7500  2 S 2.11
16 Cu 0.7586 0.5086 0.2500  2 S 2.11
17 S 0.2089 0.2302 0.9787  1 Cu 2.11
18 S 0.2302 0.2089 0.4787  1 Cu 2.11
19 S 0.2302 0.7515 0.0213  1 Cu 2.11
20 S 0.2485 0.7698 0.4787  1 Cu 2.11
21 S 0.7515 0.2302 0.5213  1 Cu 2.11
22 S 0.7698 0.2485 0.9787  1 Cu 2.11
23 S 0.7698 0.7911 0.5213  1 Cu 2.11
24 S 0.7911 0.7698 0.0213  1 Cu 2.11

Properties
Formation energy without anion corrections in meV/atom: -987
Calculated volume in Å³/atom: 14.9
VASP energy in eV per formula unit: -24.9
D(E_F) in states/eV per cell: 0.0

***

GdPO4: optimized geometry, PBEsol.

Cell: 6.3092 6.8307 7.9652 Å, 90.00 126.05 90.00°
With the nearest neighbours (Å) after each atom.
Positions (direct):
1 Gd 0.1859 0.1539 0.2821  8 O 2.35-2.56
2 Gd 0.1859 0.3461 0.7821  8 O 2.35-2.56
3 Gd 0.8141 0.6539 0.2179  8 O 2.35-2.56
4 Gd 0.8141 0.8461 0.7179  8 O 2.35-2.56
5 P 0.3106 0.6609 0.1977  4 O 1.54-1.56
6 P 0.3106 0.8391 0.6977  4 O 1.54-1.56
7 P 0.6894 0.1609 0.3023  4 O 1.54-1.56
8 P 0.6894 0.3391 0.8023  4 O 1.54-1.56
9 O 0.1178 0.6629 0.6156  1 P 1.56
10 O 0.1178 0.8371 0.1156  1 P 1.56
11 O 0.1832 0.5011 0.2487  1 P 1.55
12 O 0.1832 0.9989 0.7487  1 P 1.55
13 O 0.3435 0.6010 0.0270  1 P 1.55
14 O 0.3435 0.8990 0.5270  1 P 1.55
15 O 0.4057 0.2097 0.1191  1 P 1.54
16 O 0.4057 0.2903 0.6191  1 P 1.54
17 O 0.5943 0.7097 0.3809  1 P 1.54
18 O 0.5943 0.7903 0.8809  1 P 1.54
19 O 0.6565 0.1010 0.4730  1 P 1.55
20 O 0.6565 0.3990 0.9730  1 P 1.55
21 O 0.8168 0.0011 0.2513  1 P 1.55
22 O 0.8168 0.4989 0.7513  1 P 1.55
23 O 0.8822 0.1629 0.8844  1 P 1.56
24 O 0.8822 0.3371 0.3844  1 P 1.56

Properties
Formation energy without anion corrections in meV/atom: -3012
Calculated volume in Å³/atom: 11.6
VASP energy in eV per formula unit: -59.3
D(E_F) in states/eV per cell: 0.0

***

Mn2AlPbAu: optimized geometry, PBEsol.

Cell: 5.0598 5.0598 5.1775 Å, 90.00 90.00 90.00°
With the nearest neighbours (Å) after each atom.
Positions (direct):
1 Mn 0.0000 0.5000 0.0000  2 Pb 2.53
2 Mn 0.5000 0.0000 0.0000  2 Pb 2.53
3 Al 0.0000 0.0000 0.5000  4 Au 3.58, 8 Mn 3.62
4 Pb 0.5000 0.5000 0.0000  4 Mn 2.53, 2 Au 2.59
5 Au 0.5000 0.5000 0.5000  2 Pb 2.59

Properties
Calculated volume in Å³/atom: 26.5
VASP energy in eV per formula unit: -24.9
D(E_F) in states/eV per cell: 2.5

***

Tm2Be2GeO7: optimized geometry, PBEsol.

Cell: 7.2949 7.2949 4.7307 Å, 90.00 90.00 90.00°
With the nearest neighbours (Å) after each atom.
Positions (direct):
1 Tm 0.1572 0.3428 0.4933  6 O 2.20-2.40
2 Tm 0.3428 0.8428 0.5067  6 O 2.20-2.40
3 Tm 0.6572 0.1572 0.5067  6 O 2.20-2.40
4 Tm 0.8428 0.6572 0.4933  6 O 2.20-2.40
5 Be 0.1365 0.6365 0.9491  4 O 1.56-1.68
6 Be 0.3635 0.1365 0.0509  4 O 1.56-1.68
7 Be 0.6365 0.8635 0.0509  4 O 1.56-1.68
8 Be 0.8635 0.3635 0.9491  4 O 1.56-1.68
9 Ge 0.0000 0.0000 0.0000  4 O 1.74
10 Ge 0.5000 0.5000 0.0000  4 O 1.74
11 O 0.0000 0.5000 0.8069  2 Be 1.56
12 O 0.0827 0.8294 0.7757  1 Be 1.68, 1 Ge 1.74
13 O 0.1423 0.6423 0.2838  1 Be 1.58
14 O 0.1706 0.0827 0.2243  1 Be 1.68, 1 Ge 1.74
15 O 0.3294 0.5827 0.7757  1 Be 1.68, 1 Ge 1.74
16 O 0.3577 0.1423 0.7162  1 Be 1.58
17 O 0.4173 0.3294 0.2243  1 Be 1.68, 1 Ge 1.74
18 O 0.5000 0.0000 0.1931  2 Be 1.56
19 O 0.5827 0.6706 0.2243  1 Be 1.68, 1 Ge 1.74
20 O 0.6423 0.8577 0.7162  1 Be 1.58
21 O 0.6706 0.4173 0.7757  1 Be 1.68, 1 Ge 1.74
22 O 0.8294 0.9173 0.2243  1 Be 1.68, 1 Ge 1.74
23 O 0.8577 0.3577 0.2838  1 Be 1.58
24 O 0.9173 0.1706 0.7757  1 Be 1.68, 1 Ge 1.74

Properties
Formation energy without anion corrections in meV/atom: -2936
Calculated volume in Å³/atom: 10.5
VASP energy in eV per formula unit: -94.7
D(E_F) in states/eV per cell: 0.0

***

LiZn2Au: optimized geometry, PBEsol.

Cell: 4.7143 4.7143 4.7143 Å, 131.85 131.85 70.46°
With the nearest neighbours (Å) after each atom.
Positions (direct):
1 Li 0.0000 0.0000 0.0000  8 Zn 2.72, 4 Au 2.72
2 Zn 0.2500 0.7500 0.5000  4 Au 2.72, 4 Zn 2.72, 4 Li 2.72
3 Zn 0.5000 0.5000 0.0000  4 Li 2.72, 4 Zn 2.72, 4 Au 2.72
4 Au 0.7500 0.2500 0.5000  8 Zn 2.72, 4 Li 2.72

Properties
Calculated volume in Å³/atom: 14.2
VASP energy in eV per formula unit: -10.4
ΔE to the lowest computed polymorph in meV/atom: 44
D(E_F) in states/eV per cell: 1.3

***

KTe2OsBr: optimized geometry, PBEsol.

Cell: 5.8405 5.8405 5.4943 Å, 90.00 90.00 90.00°
With the nearest neighbours (Å) after each atom.
Positions (direct):
1 K 0.0000 0.0000 0.0000  2 Os 2.75, 4 Te 2.92
2 Te 0.0000 0.5000 0.0000  2 K 2.92
3 Te 0.5000 0.0000 0.0000  2 K 2.92
4 Os 0.0000 0.0000 0.5000  2 K 2.75
5 Br 0.5000 0.5000 0.5000  8 Te 4.01, 4 Os 4.13

Properties
Formation energy without anion corrections in meV/atom: 2177
Calculated volume in Å³/atom: 37.5
VASP energy in eV per formula unit: -11.4
D(E_F) in states/eV per cell: 9.8

***

ZrSc2Be: optimized geometry, PBEsol.

Cell: 5.7855 5.7855 5.7855 Å, 147.24 132.40 58.99°
With the nearest neighbours (Å) after each atom.
Positions (direct):
1 Zr 0.0000 0.0000 0.0000  2 Be 2.68, 4 Sc 2.96
2 Sc 0.4187 0.4187 0.0000  2 Be 2.65, 4 Zr 2.96
3 Sc 0.7112 0.2112 0.5000  4 Be 2.85, 2 Sc 3.13, 2 Zr 3.16
4 Be 0.2108 0.7108 0.5000  6 Sc 2.65-2.85, 2 Zr 2.68

Properties
Calculated volume in Å³/atom: 19.2
VASP energy in eV per formula unit: -26.2
D(E_F) in states/eV per cell: 3.6

***

Sc3CdP: optimized geometry, PBEsol.

Cell: 5.1005 5.1005 5.1005 Å, 90.00 90.00 90.00°
With the nearest neighbours (Å) after each atom.
Positions (direct):
1 Sc 0.0000 0.0000 0.5000  2 Cd 2.55
2 Sc 0.0000 0.5000 0.0000  2 Cd 2.55
3 Sc 0.5000 0.0000 0.0000  2 Cd 2.55
4 Cd 0.0000 0.0000 0.0000  6 Sc 2.55
5 P 0.5000 0.5000 0.5000  12 Sc 3.61

Properties
Calculated volume in Å³/atom: 26.5
VASP energy in eV per formula unit: -24.3
D(E_F) in states/eV per cell: 2.2

***

CaHoCo2O6: optimized geometry, PBEsol.

Cell: 7.2770 5.3357 5.1033 Å, 90.00 90.00 90.00°
With the nearest neighbours (Å) after each atom.
Positions (direct):
1 Ca 0.0000 0.1917 0.0000  6 O 2.24-2.47
2 Ca 0.5000 0.8083 0.5000  6 O 2.24-2.47
3 Ho 0.0000 0.6797 0.4664  6 O 2.21-2.39
4 Ho 0.5000 0.3203 0.9664  6 O 2.21-2.39
5 Co 0.2499 0.2437 0.4858  6 O 1.87-1.93
6 Co 0.2501 0.7563 0.9858  6 O 1.87-1.93
7 Co 0.7501 0.2437 0.4858  6 O 1.87-1.93
8 Co 0.7499 0.7563 0.9858  6 O 1.87-1.93
9 O 0.0000 0.2739 0.5686  2 Co 1.87
10 O 0.0000 0.7687 0.8900  2 Co 1.89
11 O 0.2033 0.9482 0.2923  2 Co 1.89-1.90
12 O 0.2061 0.4565 0.1878  2 Co 1.92-1.93
13 O 0.2939 0.5435 0.6878  2 Co 1.92-1.93
14 O 0.2967 0.0518 0.7923  2 Co 1.89-1.90
15 O 0.5000 0.2313 0.3900  2 Co 1.89
16 O 0.5000 0.7261 0.0686  2 Co 1.87
17 O 0.7033 0.0518 0.7923  2 Co 1.89-1.90
18 O 0.7061 0.5435 0.6878  2 Co 1.92-1.93
19 O 0.7939 0.4565 0.1878  2 Co 1.92-1.93
20 O 0.7967 0.9482 0.2923  2 Co 1.89-1.90

Properties
Formation energy without anion corrections in meV/atom: -2098
Calculated volume in Å³/atom: 9.9
VASP energy in eV per formula unit: -75.0
D(E_F) in states/eV per cell: 12.3

***

K3HoSi3O9: optimized geometry, PBEsol.

Cell: 13.8119 5.8076 12.8319 Å, 90.00 90.00 90.00°
With the nearest neighbours (Å) after each atom.
Positions (direct):
1 K 0.0000 0.1585 0.0000  5 O 2.83-3.04
2 K 0.0000 0.2330 0.2584  3 O 2.66-2.70
3 K 0.0000 0.8096 0.7138  6 O 2.70-2.91
4 K 0.0000 0.8131 0.4653  6 O 2.74-3.02
5 K 0.2089 0.3438 0.7770  3 O 2.59-2.79
6 K 0.2911 0.6562 0.2770  3 O 2.59-2.79
7 K 0.5000 0.1869 0.9653  6 O 2.74-3.02
8 K 0.5000 0.1904 0.2138  6 O 2.70-2.91
9 K 0.5000 0.7670 0.7584  3 O 2.66-2.70
10 K 0.5000 0.8415 0.5000  5 O 2.83-3.04
11 K 0.7089 0.6562 0.2770  3 O 2.59-2.79
12 K 0.7911 0.3438 0.7770  3 O 2.59-2.79
13 Ho 0.2404 0.8362 0.6106  6 O 2.20-2.26
14 Ho 0.2596 0.1638 0.1106  6 O 2.20-2.26
15 Ho 0.7404 0.1638 0.1106  6 O 2.20-2.26
16 Ho 0.7596 0.8362 0.6106  6 O 2.20-2.26
17 Si 0.1104 0.3153 0.5190  4 O 1.61-1.68
18 Si 0.1153 0.6619 0.0904  4 O 1.61-1.67
19 Si 0.2141 0.8358 0.8975  4 O 1.61-1.67
20 Si 0.2859 0.1642 0.3975  4 O 1.61-1.67
21 Si 0.3847 0.3381 0.5904  4 O 1.61-1.67
22 Si 0.3896 0.6847 0.0190  4 O 1.61-1.68
23 Si 0.6104 0.6847 0.0190  4 O 1.61-1.68
24 Si 0.6153 0.3381 0.5904  4 O 1.61-1.67
25 Si 0.7141 0.1642 0.3975  4 O 1.61-1.67
26 Si 0.7859 0.8358 0.8975  4 O 1.61-1.67
27 Si 0.8847 0.6619 0.0904  4 O 1.61-1.67
28 Si 0.8896 0.3153 0.5190  4 O 1.61-1.68
29 O 0.0000 0.3326 0.4638  2 Si 1.68
30 O 0.0000 0.7286 0.1035  2 Si 1.65
31 O 0.1163 0.0829 0.5875  1 Si 1.61
32 O 0.1314 0.5539 0.5798  1 Si 1.62
33 O 0.1342 0.4023 0.1315  1 Si 1.62
34 O 0.1347 0.6711 0.9620  2 Si 1.67
35 O 0.1717 0.8624 0.1522  1 Si 1.61
36 O 0.1780 0.2909 0.4121  2 Si 1.67
37 O 0.1866 0.8221 0.7757  1 Si 1.61
38 O 0.2130 0.0914 0.9473  1 Si 1.62
39 O 0.2870 0.9086 0.4473  1 Si 1.62
40 O 0.3134 0.1779 0.2757  1 Si 1.61
41 O 0.3220 0.7091 0.9121  2 Si 1.67
42 O 0.3283 0.1376 0.6522  1 Si 1.61
43 O 0.3653 0.3289 0.4620  2 Si 1.67
44 O 0.3658 0.5977 0.6315  1 Si 1.62
45 O 0.3686 0.4461 0.0798  1 Si 1.62
46 O 0.3837 0.9171 0.0875  1 Si 1.61
47 O 0.5000 0.2714 0.6035  2 Si 1.65
48 O 0.5000 0.6674 0.9638  2 Si 1.68
49 O 0.6163 0.9171 0.0875  1 Si 1.61
50 O 0.6314 0.4461 0.0798  1 Si 1.62
51 O 0.6342 0.5977 0.6315  1 Si 1.62
52 O 0.6347 0.3289 0.4620  2 Si 1.67
53 O 0.6717 0.1376 0.6522  1 Si 1.61
54 O 0.6780 0.7091 0.9121  2 Si 1.67
55 O 0.6866 0.1779 0.2757  1 Si 1.61
56 O 0.7130 0.9086 0.4473  1 Si 1.62
57 O 0.7870 0.0914 0.9473  1 Si 1.62
58 O 0.8134 0.8221 0.7757  1 Si 1.61
59 O 0.8220 0.2909 0.4121  2 Si 1.67
60 O 0.8283 0.8624 0.1522  1 Si 1.61
61 O 0.8653 0.6711 0.9620  2 Si 1.67
62 O 0.8658 0.4023 0.1315  1 Si 1.62
63 O 0.8686 0.5539 0.5798  1 Si 1.62
64 O 0.8837 0.0829 0.5875  1 Si 1.61

Properties
Formation energy without anion corrections in meV/atom: -2753
Calculated volume in Å³/atom: 16.1
VASP energy in eV per formula unit: -116.9
D(E_F) in states/eV per cell: 0.0

***

MnIrOs2: optimized geometry, PBEsol.

Cell: 2.6671 2.6671 7.3912 Å, 90.00 90.00 90.00°
With the nearest neighbours (Å) after each atom.
Positions (direct):
1 Mn 0.0000 0.0000 0.0000  8 Os 2.56, 4 Mn 2.67
2 Ir 0.0000 0.0000 0.5000  4 Ir 2.67, 8 Os 2.72
3 Os 0.5000 0.5000 0.2350  4 Mn 2.56, 4 Os 2.67, 4 Ir 2.72
4 Os 0.5000 0.5000 0.7650  4 Mn 2.56, 4 Os 2.67, 4 Ir 2.72

Properties
Calculated volume in Å³/atom: 13.1
VASP energy in eV per formula unit: -43.7
ΔE to the lowest computed polymorph in meV/atom: 56
D(E_F) in states/eV per cell: 4.2

***

ZnCrSi2: optimized geometry, PBEsol.

Cell: 5.4515 5.4515 5.4515 Å, 102.57 102.57 124.39°
With the nearest neighbours (Å) after each atom.
Positions (direct):
1 Zn 0.0000 0.0000 0.0000  4 Si 2.49, 2 Cr 2.54
2 Zn 0.7500 0.2500 0.5000  4 Si 2.49, 2 Cr 2.54
3 Cr 0.2500 0.7500 0.5000  4 Si 2.50, 2 Zn 2.54
4 Cr 0.5000 0.5000 0.0000  4 Si 2.50, 2 Zn 2.54
5 Si 0.1237 0.1250 0.4987  2 Zn 2.49, 2 Cr 2.50, 2 Si 2.54
6 Si 0.3750 0.8763 0.0013  2 Zn 2.49, 2 Cr 2.50, 2 Si 2.54
7 Si 0.6263 0.6250 0.5013  2 Zn 2.49, 2 Cr 2.50, 2 Si 2.54
8 Si 0.8750 0.3737 0.9987  2 Zn 2.49, 2 Cr 2.50, 2 Si 2.54

Properties
Formation energy without anion corrections in meV/atom: 486
Calculated volume in Å³/atom: 14.8
VASP energy in eV per formula unit: -21.4
D(E_F) in states/eV per cell: 5.0

***

What did the second record say?
GdPO4: optimized geometry, PBEsol.

Cell: 6.3092 6.8307 7.9652 Å, 90.00 126.05 90.00°
With the nearest neighbours (Å) after each atom.
Positions (direct):
1 Gd 0.1859 0.1539 0.2821  8 O 2.35-2.56
2 Gd 0.1859 0.3461 0.7821  8 O 2.35-2.56
3 Gd 0.8141 0.6539 0.2179  8 O 2.35-2.56
4 Gd 0.8141 0.8461 0.7179  8 O 2.35-2.56
5 P 0.3106 0.6609 0.1977  4 O 1.54-1.56
6 P 0.3106 0.8391 0.6977  4 O 1.54-1.56
7 P 0.6894 0.1609 0.3023  4 O 1.54-1.56
8 P 0.6894 0.3391 0.8023  4 O 1.54-1.56
9 O 0.1178 0.6629 0.6156  1 P 1.56
10 O 0.1178 0.8371 0.1156  1 P 1.56
11 O 0.1832 0.5011 0.2487  1 P 1.55
12 O 0.1832 0.9989 0.7487  1 P 1.55
13 O 0.3435 0.6010 0.0270  1 P 1.55
14 O 0.3435 0.8990 0.5270  1 P 1.55
15 O 0.4057 0.2097 0.1191  1 P 1.54
16 O 0.4057 0.2903 0.6191  1 P 1.54
17 O 0.5943 0.7097 0.3809  1 P 1.54
18 O 0.5943 0.7903 0.8809  1 P 1.54
19 O 0.6565 0.1010 0.4730  1 P 1.55
20 O 0.6565 0.3990 0.9730  1 P 1.55
21 O 0.8168 0.0011 0.2513  1 P 1.55
22 O 0.8168 0.4989 0.7513  1 P 1.55
23 O 0.8822 0.1629 0.8844  1 P 1.56
24 O 0.8822 0.3371 0.3844  1 P 1.56

Properties
Formation energy without anion corrections in meV/atom: -3012
Calculated volume in Å³/atom: 11.6
VASP energy in eV per formula unit: -59.3
D(E_F) in states/eV per cell: 0.0